(1)
PuBiBr: optimized geometry, GGA-PBE.

Cell lengths 3.6722, 3.6722, 8.4454 Å; angles 90.00, 90.00, 120.00 degrees
Element x y z (fractional)
Pu: 0.6667 0.3333 0.3575
Bi: 0.0000 0.0000 0.0433
Br: 0.3333 0.6667 0.5992

## Properties
- Space group: P3m1, No. 156
- Formation energy (no corrections): -0.617 eV/atom
- D(E_F): 9.83 states/eV per cell


(2)
Pu2BiBr: optimized geometry, GGA-PBE.

Cell lengths 3.8289, 3.8289, 9.4647 Å; angles 78.33, 78.33, 60.00 degrees
Element x y z (fractional)
Pu: 0.2488 0.2488 0.2536
Pu: 0.0848 0.0848 0.7457
Br: 0.4995 0.4995 0.5016
Bi: 0.6670 0.6670 0.9991

## Properties
- Relative energy among the computed polymorphs: 9.5 kJ/mol of atoms
- Space group: R3m, No. 160
- Formation energy (no corrections): -0.529 eV/atom
- D(E_F): 18.00 states/eV per cell


(3)
Pu2BiBr: optimized geometry, GGA-PBE.

Cell lengths 3.4945, 5.6423, 5.6423 Å; angles 90.00, 90.00, 90.00 degrees
Element x y z (fractional)
Bi: 0.5000 0.5000 0.5000
Pu: 0.0000 0.0000 0.5000
Pu: 0.0000 0.5000 0.0000
Br: 0.5000 0.0000 0.0000

## Properties
- Relative energy among the computed polymorphs: 4.5 kJ/mol of atoms
- Space group: P4/mmm, No. 123
- Formation energy (no corrections): -0.581 eV/atom
- D(E_F): 13.33 states/eV per cell


(4)
Pu2BiBr: optimized geometry, GGA-PBE.

Cell lengths 4.5798, 4.5798, 7.1175 Å; angles 71.23, 71.23, 60.00 degrees
Element x y z (fractional)
Pu: 0.7425 0.7425 0.7726
Pu: 0.2575 0.2575 0.2274
Br: 0.0000 0.0000 0.0000
Bi: 0.5000 0.5000 0.5000

## Properties
- Relative energy among the computed polymorphs: 0.0 kJ/mol of atoms
- Space group: R-3m, No. 166
- Formation energy (no corrections): -0.627 eV/atom
- D(E_F): 21.64 states/eV per cell


(5)
Pu2BiBr: optimized geometry, GGA-PBE.

Cell lengths 5.3942, 5.3942, 5.3942 Å; angles 60.00, 60.00, 60.00 degrees
Element x y z (fractional)
Pu: 0.2500 0.2500 0.2500
Pu: 0.7500 0.7500 0.7500
Bi: 0.0000 0.0000 0.0000
Br: 0.5000 0.5000 0.5000

## Properties
- Relative energy among the computed polymorphs: 1.2 kJ/mol of atoms
- Space group: Fm-3m, No. 225
- Formation energy (no corrections): -0.615 eV/atom
- D(E_F): 15.56 states/eV per cell


(6)
Pu7BiBr12: optimized geometry, GGA-PBE.

Cell lengths 9.6210, 9.6210, 9.6210 Å; angles 107.97, 107.97, 107.97 degrees
Element x y z (fractional)
Br: 0.6963 0.2207 0.0774
Br: 0.2207 0.0774 0.6963
Br: 0.8385 0.6163 0.5361
Br: 0.3037 0.7793 0.9226
Br: 0.0774 0.6963 0.2207
Br: 0.6163 0.5361 0.8385
Br: 0.4639 0.1615 0.3837
Br: 0.9226 0.3037 0.7793
Br: 0.1615 0.3837 0.4639
Br: 0.7793 0.9226 0.3037
Br: 0.5361 0.8385 0.6163
Br: 0.3837 0.4639 0.1615
Pu: 0.9574 0.6407 0.8734
Pu: 0.8734 0.9574 0.6407
Pu: 0.3593 0.1266 0.0426
Pu: 0.0426 0.3593 0.1266
Pu: 0.5000 0.5000 0.5000
Pu: 0.6407 0.8734 0.9574
Pu: 0.1266 0.0426 0.3593
Bi: 0.0000 0.0000 0.0000

## Properties
- Space group: R-3, No. 148
- Formation energy (no corrections): -1.322 eV/atom
- D(E_F): 78.06 states/eV per cell